Entry 1:
A geometry-optimized HCl5 structure, computed with PBE.

The structure belongs to space group Cm (No. 8); the cell edges are 20.3639, 4.3478 and 4.8031 Å and the angles 90.00°, 101.94° and 90.00°. Symmetry generates all atoms from H at (0.0000, 0.0000, 0.0000), Cl at (0.0382, 0.0000, 0.8175), Cl at (0.1756, 0.5000, 0.5347), Cl at (0.2113, 0.5000, 0.1758), Cl at (0.3597, 0.0000, 0.7059) and Cl at (0.3961, 0.0000, 0.1287).

The value obtained for the total energy is -0.165 Ry/atom.

***

Entry 2:
A geometry-optimized SrLaMo structure, computed with PBE.

The structure belongs to space group P-6m2 (No. 187); the cell edges are 5.2356, 5.2356 and 3.4888 Å and the angles 90.00°, 90.00° and 120.00°. Symmetry generates all atoms from Sr at (0.0000, 0.0000, 0.0000), La at (0.6667, 0.3333, 0.5000) and Mo at (0.3333, 0.6667, 0.5000).

The calculation puts the polymorph energy (0 for the lowest one) at 133 meV/atom. The energy of formation is 0.810 eV/atom.